Entry 1:
Mn2GaAu8 | PBE | optimized geometry

The structure in CIF format:
```
data_Mn2GaAu8
_chemical_formula_sum 'Mn4 Ga2 Au16'
_space_group_name_H-M_alt 'C 1 2/m 1'
_space_group_IT_number 12
_cell_length_a 18.6815
_cell_length_b 2.9534
_cell_length_c 7.6468
_cell_angle_alpha 90.00
_cell_angle_beta 107.59
_cell_angle_gamma 90.00
loop_
_space_group_symop_operation_xyz
'x,y,z'
'-x,-y,-z'
'-x,y,-z'
'x,-y,z'
'x+1/2,y+1/2,z'
'-x+1/2,-y+1/2,-z'
'-x+1/2,y+1/2,-z'
'x+1/2,-y+1/2,z'
loop_
_atom_site_label
_atom_site_fract_x
_atom_site_fract_y
_atom_site_fract_z
_atom_site_occupancy
Mn1 0.1920 0.0000 0.2005 1
Ga1 0.0000 0.5000 0.5000 1
Au1 0.0488 0.0000 0.2735 1
Au2 0.0788 0.5000 0.9644 1
Au3 0.1791 0.5000 0.4998 1
Au4 0.1878 0.0000 0.8346 1
```

The polymorph energy (0 for the lowest one) comes out at 60 meV per atom. As for the crystal system: monoclinic.


Entry 2:
MnGaAu5 | PBE | optimized geometry

The structure in CIF format:
```
data_MnGaAu5
_chemical_formula_sum 'Mn4 Ga4 Au20'
_space_group_name_H-M_alt 'C m c m'
_space_group_IT_number 63
_space_group_name_Hall '-C 2c 2'
_cell_length_a 7.6724
_cell_length_b 5.7096
_cell_length_c 11.6355
_cell_angle_alpha 90.00
_cell_angle_beta 90.00
_cell_angle_gamma 90.00
loop_
_atom_site_label
_atom_site_fract_x
_atom_site_fract_y
_atom_site_fract_z
_atom_site_occupancy
Mn1 0.0000 0.0000 0.0000 1
Ga1 0.0000 0.4007 0.2500 1
Au1 0.0000 0.0354 0.7500 1
Au2 0.1993 0.3543 0.6080 1
```

The polymorph energy (0 for the lowest one) comes out at 0 meV per atom. As for the crystal system: orthorhombic.


Entry 3:
MnGaAu6 | PBE | optimized geometry

The structure in CIF format:
```
data_MnGaAu6
_chemical_formula_sum 'Mn1 Ga1 Au6'
_space_group_name_H-M_alt 'P -1'
_space_group_IT_number 2
_cell_length_a 5.3634
_cell_length_b 5.3720
_cell_length_c 5.3990
_cell_angle_alpha 77.27
_cell_angle_beta 78.56
_cell_angle_gamma 78.90
loop_
_space_group_symop_operation_xyz
'x,y,z'
'-x,-y,-z'
loop_
_atom_site_label
_atom_site_fract_x
_atom_site_fract_y
_atom_site_fract_z
_atom_site_occupancy
Mn1 0.0000 0.0000 0.0000 1
Ga1 0.5000 0.5000 0.5000 1
Au1 0.0104 0.7470 0.5054 1
Au2 0.2536 0.5006 0.9800 1
Au3 0.4980 0.9898 0.2522 1
```

The polymorph energy (0 for the lowest one) comes out at 73 meV per atom. As for the crystal system: triclinic.


Entry 4:
MnGa2Au8 | PBE | optimized geometry

The structure in CIF format:
```
data_MnGa2Au8
_chemical_formula_sum 'Mn1 Ga2 Au8'
_space_group_name_H-M_alt 'P -1'
_space_group_IT_number 2
_cell_length_a 4.8869
_cell_length_b 6.2474
_cell_length_c 7.4514
_cell_angle_alpha 108.87
_cell_angle_beta 107.28
_cell_angle_gamma 97.33
loop_
_space_group_symop_operation_xyz
'x,y,z'
'-x,-y,-z'
loop_
_atom_site_label
_atom_site_fract_x
_atom_site_fract_y
_atom_site_fract_z
_atom_site_occupancy
Mn1 0.0000 0.0000 0.0000 1
Ga1 0.2590 0.3744 0.6777 1
Au1 0.1836 0.9609 0.3783 1
Au2 0.2161 0.4343 0.3319 1
Au3 0.2873 0.6481 0.0420 1
Au4 0.3745 0.8707 0.7685 1
```

The polymorph energy (0 for the lowest one) comes out at 4 meV per atom. As for the crystal system: triclinic.


Entry 5:
MnGa3Au | PBE | optimized geometry

The structure in CIF format:
```
data_MnGa3Au
_chemical_formula_sum 'Mn1 Ga3 Au1'
_space_group_name_H-M_alt 'P m -3 m'
_space_group_IT_number 221
_space_group_name_Hall '-P 4 2 3'
_cell_length_a 4.5683
_cell_length_b 4.5683
_cell_length_c 4.5683
_cell_angle_alpha 90.00
_cell_angle_beta 90.00
_cell_angle_gamma 90.00
loop_
_atom_site_label
_atom_site_fract_x
_atom_site_fract_y
_atom_site_fract_z
_atom_site_occupancy
Mn1 0.0000 0.0000 0.0000 1
Ga1 0.0000 0.0000 0.5000 1
Au1 0.5000 0.5000 0.5000 1
```

The polymorph energy (0 for the lowest one) comes out at 0 meV per atom. As for the crystal system: cubic.


Entry 6:
MnGa2Au8 | PBE | optimized geometry

The structure in CIF format:
```
data_MnGa2Au8
_chemical_formula_sum 'Mn2 Ga4 Au16'
_space_group_name_H-M_alt 'C 1 2/m 1'
_space_group_IT_number 12
_cell_length_a 15.1807
_cell_length_b 4.1143
_cell_length_c 6.5517
_cell_angle_alpha 90.00
_cell_angle_beta 108.59
_cell_angle_gamma 90.00
loop_
_space_group_symop_operation_xyz
'x,y,z'
'-x,-y,-z'
'-x,y,-z'
'x,-y,z'
'x+1/2,y+1/2,z'
'-x+1/2,-y+1/2,-z'
'-x+1/2,y+1/2,-z'
'x+1/2,-y+1/2,z'
loop_
_atom_site_label
_atom_site_fract_x
_atom_site_fract_y
_atom_site_fract_z
_atom_site_occupancy
Mn1 0.0000 0.0000 0.0000 1
Ga1 0.2116 0.5000 0.6581 1
Au1 0.0395 0.5000 0.7516 1
Au2 0.0927 0.0000 0.4582 1
Au3 0.1515 0.5000 0.2210 1
Au4 0.1757 0.0000 0.9266 1
```

The polymorph energy (0 for the lowest one) comes out at 0 meV per atom. As for the crystal system: monoclinic.


Entry 7:
MnGaAu5 | PBE | optimized geometry

The structure in CIF format:
```
data_MnGaAu5
_chemical_formula_sum 'Mn4 Ga4 Au20'
_space_group_name_H-M_alt 'C 1 2/c 1'
_space_group_IT_number 15
_cell_length_a 10.0695
_cell_length_b 10.9888
_cell_length_c 6.2034
_cell_angle_alpha 90.00
_cell_angle_beta 127.48
_cell_angle_gamma 90.00
loop_
_space_group_symop_operation_xyz
'x,y,z'
'-x,-y,-z'
'-x,y,-z+1/2'
'x,-y,z+1/2'
'x+1/2,y+1/2,z'
'-x+1/2,-y+1/2,-z'
'-x+1/2,y+1/2,-z+1/2'
'x+1/2,-y+1/2,z+1/2'
loop_
_atom_site_label
_atom_site_fract_x
_atom_site_fract_y
_atom_site_fract_z
_atom_site_occupancy
Mn1 0.0000 0.0085 0.2500 1
Ga1 0.0000 0.5000 0.0000 1
Au1 0.0000 0.2860 0.2500 1
Au2 0.2161 0.1283 0.7299 1
Au3 0.2179 0.1287 0.2009 1
```

The polymorph energy (0 for the lowest one) comes out at 58 meV per atom. As for the crystal system: monoclinic.


Entry 8:
MnGa2Au6 | PBE | optimized geometry

The structure in CIF format:
```
data_MnGa2Au6
_chemical_formula_sum 'Mn2 Ga4 Au12'
_space_group_name_H-M_alt 'C 1 2/m 1'
_space_group_IT_number 12
_cell_length_a 15.1695
_cell_length_b 2.9481
_cell_length_c 7.4573
_cell_angle_alpha 90.00
_cell_angle_beta 99.11
_cell_angle_gamma 90.00
loop_
_space_group_symop_operation_xyz
'x,y,z'
'-x,-y,-z'
'-x,y,-z'
'x,-y,z'
'x+1/2,y+1/2,z'
'-x+1/2,-y+1/2,-z'
'-x+1/2,y+1/2,-z'
'x+1/2,-y+1/2,z'
loop_
_atom_site_label
_atom_site_fract_x
_atom_site_fract_y
_atom_site_fract_z
_atom_site_occupancy
Mn1 0.0000 0.0000 0.0000 1
Ga1 0.2253 0.0000 0.6891 1
Au1 0.0542 0.0000 0.6696 1
Au2 0.1295 0.0000 0.3282 1
Au3 0.1583 0.5000 0.9830 1
```

The polymorph energy (0 for the lowest one) comes out at 66 meV per atom. As for the crystal system: monoclinic.


Entry 9:
NpMnGa2Au4 | PBE | optimized geometry

The structure in CIF format:
```
data_NpMnGa2Au4
_chemical_formula_sum 'Np3 Mn3 Ga6 Au12'
_space_group_name_H-M_alt 'R -3 m'
_space_group_IT_number 166
_space_group_name_Hall '-R 3 2"'
_cell_length_a 4.5594
_cell_length_b 4.5594
_cell_length_c 25.3313
_cell_angle_alpha 90.00
_cell_angle_beta 90.00
_cell_angle_gamma 120.00
loop_
_atom_site_label
_atom_site_fract_x
_atom_site_fract_y
_atom_site_fract_z
_atom_site_occupancy
Np1 0.0000 0.0000 0.0000 1
Mn1 0.0000 0.0000 0.5000 1
Ga1 0.0000 0.0000 0.2479 1
Au1 0.0000 0.0000 0.1347 1
Au2 0.0000 0.0000 0.3926 1
```

As for the crystal system: trigonal.


Entry 10:
Mn2GaOsAu | PBE | optimized geometry

The structure in CIF format:
```
data_Mn2GaOsAu
_chemical_formula_sum 'Mn2 Ga1 Os1 Au1'
_space_group_name_H-M_alt 'P 4/m m m'
_space_group_IT_number 123
_space_group_name_Hall '-P 4 2'
_cell_length_a 4.8363
_cell_length_b 4.8363
_cell_length_c 4.6267
_cell_angle_alpha 90.00
_cell_angle_beta 90.00
_cell_angle_gamma 90.00
loop_
_atom_site_label
_atom_site_fract_x
_atom_site_fract_y
_atom_site_fract_z
_atom_site_occupancy
Mn1 0.0000 0.5000 0.0000 1
Ga1 0.0000 0.0000 0.5000 1
Os1 0.5000 0.5000 0.5000 1
Au1 0.0000 0.0000 0.0000 1
```

As for the crystal system: tetragonal.


Entry 11:
MnGaPdAu | PBE | optimized geometry

The structure in CIF format:
```
data_MnGaPdAu
_chemical_formula_sum 'Mn4 Ga4 Pd4 Au4'
_space_group_name_H-M_alt 'F -4 3 m'
_space_group_IT_number 216
_space_group_name_Hall 'F -4 2 3'
_cell_length_a 6.3144
_cell_length_b 6.3144
_cell_length_c 6.3144
_cell_angle_alpha 90.00
_cell_angle_beta 90.00
_cell_angle_gamma 90.00
loop_
_atom_site_label
_atom_site_fract_x
_atom_site_fract_y
_atom_site_fract_z
_atom_site_occupancy
Mn1 0.0000 0.0000 0.0000 1
Ga1 0.0000 0.0000 0.5000 1
Pd1 0.2500 0.2500 0.2500 1
Au1 0.2500 0.2500 0.7500 1
```

As for the crystal system: cubic.


Entry 12:
Pm2MnGa3Au4 | PBE | optimized geometry

The structure in CIF format:
```
data_Pm2MnGa3Au4
_chemical_formula_sum 'Pm2 Mn1 Ga3 Au4'
_space_group_name_H-M_alt 'P -4 m 2'
_space_group_IT_number 115
_cell_length_a 4.3403
_cell_length_b 4.3403
_cell_length_c 10.9721
_cell_angle_alpha 90.00
_cell_angle_beta 90.00
_cell_angle_gamma 90.00
loop_
_space_group_symop_operation_xyz
'x,y,z'
'y,-x,-z'
'-x,-y,z'
'-y,x,-z'
'-x,y,z'
'-y,-x,-z'
'x,-y,z'
'y,x,-z'
loop_
_atom_site_label
_atom_site_fract_x
_atom_site_fract_y
_atom_site_fract_z
_atom_site_occupancy
Pm1 0.0000 0.5000 0.2444 1
Mn1 0.0000 0.0000 0.5000 1
Ga1 0.0000 0.5000 0.8665 1
Ga2 0.5000 0.5000 0.5000 1
Au1 0.0000 0.0000 0.0000 1
Au2 0.0000 0.5000 0.6385 1
Au3 0.5000 0.5000 0.0000 1
```

As for the crystal system: tetragonal.


Entry 13:
MnGaRu2Au | PBE | optimized geometry

The structure in CIF format:
```
data_MnGaRu2Au
_chemical_formula_sum 'Mn1 Ga1 Ru2 Au1'
_space_group_name_H-M_alt 'P 4/m m m'
_space_group_IT_number 123
_space_group_name_Hall '-P 4 2'
_cell_length_a 4.8718
_cell_length_b 4.8718
_cell_length_c 4.6276
_cell_angle_alpha 90.00
_cell_angle_beta 90.00
_cell_angle_gamma 90.00
loop_
_atom_site_label
_atom_site_fract_x
_atom_site_fract_y
_atom_site_fract_z
_atom_site_occupancy
Mn1 0.0000 0.0000 0.0000 1
Ga1 0.5000 0.5000 0.0000 1
Ru1 0.0000 0.5000 0.5000 1
Au1 0.0000 0.0000 0.5000 1
```

As for the crystal system: tetragonal.


These records have formation energy values of -0.01; -0.07; -0.01; -0.09; 0.30; -0.09; -0.01; -0.02; -0.14; 1.49; -0.27; -0.53; 1.71 eV/atom, in the order they appear.